(1)
Compound: LiDyHo2
Source: the Alexandria database
Functional: PBE
Structure: optimized geometry

a b c (Å): 3.5843 3.5843 8.7909
angles (deg): 90.00 90.00 90.00
With the nearest neighbours (Å) after each atom.
Sites, in units of the cell vectors:
Dy 0.5000 0.5000 0.5000  8 Ho 3.52, 4 Dy 3.58
Li 0.5000 0.5000 0.0000  8 Ho 3.20, 4 Li 3.58
Ho 0.0000 0.0000 0.7775  4 Li 3.20, 4 Dy 3.52, 4 Ho 3.58
Ho 0.0000 0.0000 0.2225  4 Li 3.20, 4 Dy 3.52, 4 Ho 3.58

**Relative energy among the computed polymorphs**: 0 meV/atom

(2)
Compound: LiDy2Ho
Source: the Alexandria database
Functional: PBE
Structure: optimized geometry

a b c (Å): 3.5907 3.5907 8.8103
angles (deg): 90.00 90.00 90.00
With the nearest neighbours (Å) after each atom.
Sites, in units of the cell vectors:
Ho 0.5000 0.5000 0.5000  8 Dy 3.51, 4 Ho 3.59
Li 0.5000 0.5000 0.0000  8 Dy 3.22, 4 Li 3.59
Dy 0.0000 0.0000 0.7757  4 Li 3.22, 4 Ho 3.51, 4 Dy 3.59
Dy 0.0000 0.0000 0.2243  4 Li 3.22, 4 Ho 3.51, 4 Dy 3.59

**Relative energy among the computed polymorphs**: 0 meV/atom

(3)
Compound: LiDyHo2
Source: the Alexandria database
Functional: PBE
Structure: optimized geometry

a b c (Å): 3.7329 5.5507 5.5507
angles (deg): 90.00 90.00 90.00
With the nearest neighbours (Å) after each atom.
Sites, in units of the cell vectors:
Ho 0.0000 0.0000 0.5000  4 Li 3.34, 4 Dy 3.34, 2 Ho 3.73
Dy 0.5000 0.0000 0.0000  8 Ho 3.34, 2 Dy 3.73
Li 0.5000 0.5000 0.5000  8 Ho 3.34, 2 Li 3.73
Ho 0.0000 0.5000 0.0000  4 Li 3.34, 4 Dy 3.34, 2 Ho 3.73

**Relative energy among the computed polymorphs**: 87 meV/atom

(4)
Compound: LiDy2Ho
Source: the Alexandria database
Functional: PBE
Structure: optimized geometry

a b c (Å): 5.4567 5.4567 5.4567
angles (deg): 60.00 60.00 60.00
With the nearest neighbours (Å) after each atom.
Sites, in units of the cell vectors:
Li 0.5000 0.5000 0.5000  8 Dy 3.34
Ho 0.0000 0.0000 0.0000  8 Dy 3.34
Dy 0.2500 0.2500 0.2500  4 Ho 3.34, 4 Li 3.34
Dy 0.7500 0.7500 0.7500  4 Ho 3.34, 4 Li 3.34

**Relative energy among the computed polymorphs**: 105 meV/atom

(5)
Compound: LiDyHoLu
Source: the Alexandria database
Functional: PBE
Structure: optimized geometry

a b c (Å): 5.4109 5.4109 5.4109
angles (deg): 60.00 60.00 60.00
With the nearest neighbours (Å) after each atom.
Sites, in units of the cell vectors:
Li 0.5000 0.5000 0.5000  4 Dy 3.31, 4 Ho 3.31
Dy 0.2500 0.2500 0.2500  4 Li 3.31, 4 Lu 3.31
Lu 0.0000 0.0000 0.0000  4 Dy 3.31, 4 Ho 3.31
Ho 0.7500 0.7500 0.7500  4 Lu 3.31, 4 Li 3.31

(6)
Compound: LiDyHoMg
Source: the Alexandria database
Functional: PBE
Structure: optimized geometry

a b c (Å): 5.2981 5.2981 5.2981
angles (deg): 60.00 60.00 60.00
With the nearest neighbours (Å) after each atom.
Sites, in units of the cell vectors:
Dy 0.7500 0.7500 0.7500  4 Mg 3.24, 4 Li 3.24
Ho 0.2500 0.2500 0.2500  4 Li 3.24, 4 Mg 3.24
Mg 0.5000 0.5000 0.5000  4 Ho 3.24, 4 Dy 3.24
Li 0.0000 0.0000 0.0000  4 Dy 3.24, 4 Ho 3.24

| no. | energy of formation from the pure elements (eV/atom) |
| --- | --- |
| 1 | 0.071 |
| 2 | 0.070 |
| 3 | 0.158 |
| 4 | 0.175 |
| 5 | 0.162 |
| 6 | 0.048 |